Ti2CoO: optimized geometry, PBE+U.

Calculated values
Calculated total energy ... -29.1 eV for the cell shown
Distance to the lowest polymorph of the same formula ... 0.003 eV/atom
Symmetry ... No. 166

Lattice parameters (Å, degrees): 7.8893 7.8893 7.8893 20.18 20.18 20.18
Fractional positions:
Ti  0.1051  0.1051  0.1051
Ti  0.8949  0.8949  0.8949
Co  0.0000  0.0000  0.0000
O  0.5000  0.5000  0.5000